This record from Alexandria via LeMat-Bulk describes a relaxed GaSnN2 crystal. The functional is GGA-PBE.

Cell: 6.2660 6.2660 6.2660 Å, 30.90 30.90 30.90°
With the nearest neighbours (Å) after each atom.
Atoms (fractional coordinates):
Sn 0.5000 0.5000 0.5000  6 N 2.22
Ga 0.0000 0.0000 0.0000  2 N 1.88
N 0.8951 0.8951 0.8951  1 Ga 1.88
N 0.1049 0.1049 0.1049  1 Ga 1.88

Calculated volume   58 Å³ per cell
E_form (uncorrected)   0.324 eV per atom
E   -5.596 eV/atom


This record from Alexandria via LeMat-Bulk describes a relaxed LaAlTl2 crystal. The functional is GGA-PBE.

Cell: 10.7563 10.7563 10.7563 Å, 18.45 18.45 18.45°
With the nearest neighbours (Å) after each atom.
Atoms (fractional coordinates):
Tl 0.9921 0.9921 0.9921  3 Al 3.11, 6 Tl 3.45
Tl 0.5079 0.5079 0.5079  3 Al 3.11, 6 Tl 3.45
Al 0.2500 0.2500 0.2500  6 Tl 3.11, 6 Al 3.45
La 0.7500 0.7500 0.7500  6 La 3.45, 6 Tl 3.51

Energy of formation   0.03 eV/atom
Calculated volume   109 Å³ per cell
E   -3.321 eV/atom


This record from Alexandria via LeMat-Bulk describes a relaxed W5C crystal. The functional is GGA-PBE.

Cell: 5.3909 5.3909 6.1468 Å, 66.31 66.31 33.64°
With the nearest neighbours (Å) after each atom.
Atoms (fractional coordinates):
W 0.6548 0.6548 0.7029  2 C 2.29
W 0.4229 0.4229 0.1999  2 C 2.29
W 0.3546 0.3546 0.7769  2 C 2.37, 4 W 2.58-2.60
W 0.0364 0.0364 0.4529  1 C 2.57, 8 W 2.58-2.80
W 0.7154 0.7154 0.1342  1 C 2.52, 6 W 2.58-2.81
C 0.9827 0.9827 0.8999  8 W 2.29-2.57

Energy of formation   0.51 eV/atom
Calculated volume   90 Å³ per cell
E   -11.823 eV/atom